# KThTcO6

A relaxed structure of KThTcO6 (PBE, the Alexandria database).

Output
SG	P312
formation energy (no corrections)	-2.134	eV/atom

a = 5.732 Å, b = 5.732 Å, c = 5.772 Å
α = 90.00°, β = 90.00°, γ = 60.00°
Sites, in units of the cell vectors:
O (0.356, 0.048, 0.688)
Tc (0.333, 0.333, 0.500)
O (0.356, 0.595, 0.312)
O (0.048, 0.595, 0.688)
O (0.595, 0.048, 0.312)
Th (0.667, 0.667, 0.500)
O (0.595, 0.356, 0.688)
O (0.048, 0.356, 0.312)
K (0.000, 0.000, 0.000)

---

# KTiTcO6

A relaxed structure of KTiTcO6 (PBE, the Alexandria database).

Output
SG	P3
formation energy (no corrections)	-1.955	eV/atom

a = 5.226 Å, b = 5.227 Å, c = 5.952 Å
α = 90.00°, β = 90.00°, γ = 60.00°
Sites, in units of the cell vectors:
O (0.017, 0.397, 0.314)
Tc (0.333, 0.333, 0.538)
Ti (0.667, 0.667, 0.450)
O (0.007, 0.608, 0.683)
O (0.586, 0.017, 0.314)
O (0.397, 0.586, 0.314)
K (0.000, 0.000, 0.020)
O (0.608, 0.385, 0.683)
O (0.385, 0.007, 0.683)

---

# K2TiTc3O12

A relaxed structure of K2TiTc3O12 (PBE, the Alexandria database).

Output
SG	R-3m
formation energy (no corrections)	-1.691	eV/atom

a = 7.245 Å, b = 7.245 Å, c = 7.245 Å
α = 60.34°, β = 60.34°, γ = 60.34°
Sites, in units of the cell vectors:
Tc (0.000, 0.500, 0.000)
O (0.068, 0.685, 0.685)
K (0.612, 0.612, 0.612)
O (0.686, 0.059, 0.059)
O (0.685, 0.068, 0.685)
O (0.941, 0.941, 0.314)
O (0.315, 0.315, 0.932)
O (0.932, 0.315, 0.315)
O (0.315, 0.932, 0.315)
O (0.059, 0.686, 0.059)
Tc (0.000, 0.000, 0.500)
O (0.941, 0.314, 0.941)
O (0.059, 0.059, 0.686)
O (0.314, 0.941, 0.941)
Ti (0.000, 0.000, 0.000)
K (0.388, 0.388, 0.388)
O (0.685, 0.685, 0.068)
Tc (0.500, 0.000, 0.000)

---

# KTl2TcO4

A relaxed structure of KTl2TcO4 (PBE, the Alexandria database).

Output
SG	I-4
formation energy (no corrections)	-1.120	eV/atom

a = 6.199 Å, b = 6.199 Å, c = 6.199 Å
α = 90.90°, β = 119.48°, γ = 119.48°
Sites, in units of the cell vectors:
O (0.989, 0.609, 0.224)
O (0.011, 0.236, 0.620)
Tl (0.000, 0.000, 0.000)
Tc (0.000, 0.500, 0.500)
O (0.615, 0.380, 0.391)
Tl (0.500, 0.750, 0.250)
K (0.500, 0.250, 0.750)
O (0.385, 0.776, 0.764)